The following is a PBE calculation of a relaxed Zr2TcRu crystal, from the Alexandria database.

- DFT total energy: -0.682 Ry per atom
- Crystal system: monoclinic

```
data_Zr2TcRu
_chemical_formula_sum 'Zr4 Tc2 Ru2'
_cell_length_a 8.5050
_cell_length_b 3.1866
_cell_length_c 5.5295
_cell_angle_alpha 90.00
_cell_angle_beta 102.64
_cell_angle_gamma 90.00
_symmetry_space_group_name_H-M 'C 1 2/m 1'
_symmetry_Int_Tables_number 12
_symmetry_space_group_name_Hall '-C 2y'
loop_
_atom_site_label
_atom_site_fract_x
_atom_site_fract_y
_atom_site_fract_z
Zr1 0.2494 0.0000 0.2502
Tc1 0.0000 0.0000 0.5000
Ru1 0.0000 0.5000 0.0000
```